A relaxed structure of KNi2Br, computed with GGA-PBE.

Output
Formation energy from raw total energies: 0.89 eV per atom
SG: Fm-3m
M_tot: 0.55 μB/cell

Unit cell a=4.762 b=4.762 c=4.762 alpha=60.00 beta=60.00 gamma=60.00
Sites, in units of the cell vectors:
1 K 0.000 0.000 0.000
2 Ni 0.250 0.250 0.250
3 Ni 0.750 0.750 0.750
4 Br 0.500 0.500 0.500



A relaxed structure of KNi2Br, computed with GGA-PBE.

Output
Formation energy from raw total energies: 0.52 eV per atom
SG: Immm
M_tot: 1.13 μB/cell

Unit cell a=5.955 b=5.955 c=5.955 alpha=149.63 beta=130.25 gamma=59.41
Sites, in units of the cell vectors:
1 K 0.000 0.000 0.000
2 Ni 0.287 0.787 0.500
3 Ni 0.713 0.213 0.500
4 Br 0.500 0.500 0.000



A relaxed structure of KNiBr, computed with GGA-PBE.

Output
Formation energy from raw total energies: -0.39 eV per atom
SG: P1
M_tot: 0.00 μB/cell

Unit cell a=4.345 b=6.482 c=6.888 alpha=100.77 beta=90.13 gamma=109.09
Sites, in units of the cell vectors:
1 K 0.000 0.000 0.000
2 K 0.241 0.496 0.598
3 Ni 0.555 0.112 0.656
4 Ni 0.978 0.953 0.501
5 Br 0.447 0.889 0.355
6 Br 0.689 0.387 0.939



A relaxed structure of KNiBr3, computed with GGA-PBE.

Output
Formation energy from raw total energies: -0.87 eV per atom
SG: P6_3/mmc
M_tot: 3.99 μB/cell

Unit cell a=7.328 b=7.328 c=6.275 alpha=90.00 beta=90.00 gamma=120.00
Sites, in units of the cell vectors:
1 K 0.333 0.667 0.250
2 K 0.667 0.333 0.750
3 Ni 0.000 0.000 0.000
4 Ni 0.000 0.000 0.500
5 Br 0.159 0.318 0.750
6 Br 0.159 0.841 0.750
7 Br 0.318 0.159 0.250
8 Br 0.682 0.841 0.750
9 Br 0.841 0.159 0.250
10 Br 0.841 0.682 0.250



A relaxed structure of KNiBr, computed with GGA-PBE.

Output
Formation energy from raw total energies: -0.25 eV per atom
SG: P6_3/mmc
M_tot: 0.00 μB/cell

Unit cell a=4.152 b=4.152 c=9.955 alpha=90.00 beta=90.00 gamma=120.00
Sites, in units of the cell vectors:
1 K 0.000 0.000 0.000
2 K 0.000 0.000 0.500
3 Ni 0.333 0.667 0.250
4 Ni 0.667 0.333 0.750
5 Br 0.333 0.667 0.750
6 Br 0.667 0.333 0.250



A relaxed structure of KNi2Br, computed with GGA-PBE.

Output
Formation energy from raw total energies: 0.71 eV per atom
SG: P4/mmm
M_tot: 0.00 μB/cell

Unit cell a=3.304 b=3.304 c=7.630 alpha=90.00 beta=90.00 gamma=90.00
Sites, in units of the cell vectors:
1 K 0.000 0.000 0.000
2 Ni 0.500 0.500 0.337
3 Ni 0.500 0.500 0.663
4 Br 0.000 0.000 0.500



- What is the formula in the fourth record?
  KNiBr3